# 1
# Ta3Ge

Crystalline Ta3Ge at its relaxed geometry (PBE-GGA, Alexandria via LeMat-Bulk).

```
data_Ta3Ge
_chemical_formula_sum 'Ta24 Ge8'
_symmetry_space_group_name_H-M 'I -4'
_symmetry_Int_Tables_number 82
_cell_length_a 10.403
_cell_length_b 10.403
_cell_length_c 5.196
_cell_angle_alpha 90.00
_cell_angle_beta 90.00
_cell_angle_gamma 90.00
loop_
_symmetry_equiv_pos_as_xyz
'x,y,z'
'y,-x,-z'
'-x,-y,z'
'-y,x,-z'
'x+1/2,y+1/2,z+1/2'
'y+1/2,-x+1/2,-z+1/2'
'-x+1/2,-y+1/2,z+1/2'
'-y+1/2,x+1/2,-z+1/2'
loop_
_atom_site_label
_atom_site_type_symbol
_atom_site_fract_x
_atom_site_fract_y
_atom_site_fract_z
Ta1 Ta 0.014 0.145 0.236
Ta2 Ta 0.084 0.599 0.022
Ta3 Ta 0.191 0.714 0.490
Ge1 Ge 0.026 0.209 0.734
```

## Properties
**ΔH_f (0 K)**: -6.1 kcal/mol of atoms
**Final energy**: -10.308 eV/atom

=====

# 2
# TaGe

Crystalline TaGe at its relaxed geometry (PBE-GGA, Alexandria via LeMat-Bulk).

```
data_TaGe
_chemical_formula_sum 'Ta6 Ge6'
_symmetry_space_group_name_H-M 'P m -3 n'
_symmetry_Int_Tables_number 223
_symmetry_space_group_name_Hall '-P 4n 2 3'
_cell_length_a 7.197
_cell_length_b 7.197
_cell_length_c 7.197
_cell_angle_alpha 90.00
_cell_angle_beta 90.00
_cell_angle_gamma 90.00
loop_
_atom_site_label
_atom_site_type_symbol
_atom_site_fract_x
_atom_site_fract_y
_atom_site_fract_z
Ta1 Ta 0.000 0.250 0.500
Ge1 Ge 0.000 0.500 0.250
```

## Properties
**ΔH_f (0 K)**: 27.7 kcal/mol of atoms
**Final energy**: -7.034 eV/atom

=====

# 3
# TaGe

Crystalline TaGe at its relaxed geometry (PBE-GGA, Alexandria via LeMat-Bulk).

```
data_TaGe
_chemical_formula_sum 'Ta8 Ge8'
_symmetry_space_group_name_H-M 'P 21 21 21'
_symmetry_Int_Tables_number 19
_cell_length_a 6.206
_cell_length_b 6.843
_cell_length_c 7.027
_cell_angle_alpha 90.00
_cell_angle_beta 90.00
_cell_angle_gamma 90.00
loop_
_symmetry_equiv_pos_as_xyz
'x,y,z'
'-x+1/2,-y,z+1/2'
'x+1/2,-y+1/2,-z'
'-x,y+1/2,-z+1/2'
loop_
_atom_site_label
_atom_site_type_symbol
_atom_site_fract_x
_atom_site_fract_y
_atom_site_fract_z
Ta1 Ta 0.005 0.068 0.194
Ta2 Ta 0.203 0.751 0.970
Ge1 Ge 0.150 0.130 0.805
Ge2 Ge 0.249 0.375 0.091
```

## Properties
**ΔH_f (0 K)**: -0.9 kcal/mol of atoms
**Final energy**: -8.272 eV/atom

=====

# 4
# TaGe

Crystalline TaGe at its relaxed geometry (PBE-GGA, Alexandria via LeMat-Bulk).

```
data_TaGe
_chemical_formula_sum 'Ta8 Ge8'
_symmetry_space_group_name_H-M 'I 4/m'
_symmetry_Int_Tables_number 87
_symmetry_space_group_name_Hall '-I 4'
_cell_length_a 8.937
_cell_length_b 8.937
_cell_length_c 4.568
_cell_angle_alpha 90.00
_cell_angle_beta 90.00
_cell_angle_gamma 90.00
loop_
_atom_site_label
_atom_site_type_symbol
_atom_site_fract_x
_atom_site_fract_y
_atom_site_fract_z
Ta1 Ta 0.109 0.385 0.000
Ge1 Ge 0.118 0.780 0.000
```

## Properties
**ΔH_f (0 K)**: 5.7 kcal/mol of atoms
**Final energy**: -7.987 eV/atom

=====

# 5
# TaGe

Crystalline TaGe at its relaxed geometry (PBE-GGA, Alexandria via LeMat-Bulk).

```
data_TaGe
_chemical_formula_sum 'Ta6 Ge6'
_symmetry_space_group_name_H-M 'P 63/m'
_symmetry_Int_Tables_number 176
_symmetry_space_group_name_Hall '-P 6c'
_cell_length_a 7.3997
_cell_length_b 7.3997
_cell_length_c 5.1244
_cell_angle_alpha 90.00
_cell_angle_beta 90.00
_cell_angle_gamma 120.00
loop_
_atom_site_label
_atom_site_type_symbol
_atom_site_fract_x
_atom_site_fract_y
_atom_site_fract_z
Ta1 Ta 0.0931 0.4072 0.2500
Ge1 Ge 0.0906 0.3716 0.7500
```

## Properties
**ΔH_f (0 K)**: 5.8 kcal/mol of atoms
**Final energy**: -7.982 eV/atom

=====

# 6
# TaGe

Crystalline TaGe at its relaxed geometry (PBE-GGA, Alexandria via LeMat-Bulk).

```
data_TaGe
_chemical_formula_sum 'Ta2 Ge2'
_symmetry_space_group_name_H-M 'A m m 2'
_symmetry_Int_Tables_number 38
_cell_length_a 4.131
_cell_length_b 2.966
_cell_length_c 5.582
_cell_angle_alpha 90.00
_cell_angle_beta 90.00
_cell_angle_gamma 90.00
loop_
_symmetry_equiv_pos_as_xyz
'x,y,z'
'-x,-y,z'
'-x,y,z'
'x,-y,z'
'x,y+1/2,z+1/2'
'-x,-y+1/2,z+1/2'
'-x,y+1/2,z+1/2'
'x,-y+1/2,z+1/2'
loop_
_atom_site_label
_atom_site_type_symbol
_atom_site_fract_x
_atom_site_fract_y
_atom_site_fract_z
Ta1 Ta 0.000 0.000 0.000
Ge1 Ge 0.500 0.000 0.678
```

## Properties
**ΔH_f (0 K)**: -3.4 kcal/mol of atoms
**Final energy**: -8.382 eV/atom